P) Pr2YGe2: optimized geometry, GGA-PBE.

The space group is P4/mbm (No. 127) and the conventional cell measures 7.757, 7.757 and 4.461 Å, with angles of 90.00, 90.00 and 90.00 degrees. The asymmetric unit holds Pr at (0.175, 0.325, 0.000), Y at (0.000, 0.000, 0.500) and Ge at (0.122, 0.622, 0.500).



Q) Pr2YGe2: optimized geometry, GGA-PBE.

The space group is C2/m (No. 12) and the conventional cell measures 12.623, 4.461 and 10.912 Å, with angles of 90.00, 116.62 and 90.00 degrees. The asymmetric unit holds Pr at (0.015, 0.000, 0.187), Pr at (0.179, 0.000, 0.589), Y at (0.223, 0.500, 0.864), Ge at (0.015, 0.500, 0.390) and Ge at (0.116, 0.500, 0.059).



Tell me which of them is the most stable. Sure, it is P).



P) PrYGe: optimized geometry, GGA-PBE.

The space group is P3m1 (No. 156) and the conventional cell measures 4.7888, 4.7888 and 4.3419 Å, with angles of 90.00, 90.00 and 120.00 degrees. The asymmetric unit holds Pr at (0.0000, 0.0000, 0.0000), Y at (0.6667, 0.3333, 0.4768) and Ge at (0.3333, 0.6667, 0.6186).



Q) PrYGe: optimized geometry, GGA-PBE.

The space group is C2/m (No. 12) and the conventional cell measures 11.109, 4.255 and 8.443 Å, with angles of 90.00, 123.63 and 90.00 degrees. The asymmetric unit holds Pr at (0.168, 0.000, 0.070), Y at (0.083, 0.500, 0.363) and Ge at (0.131, 0.000, 0.652).



Tell me which of them is the most stable. Sure, it is Q).



P) PrYZnGe: optimized geometry, GGA-PBE.

The space group is F-43m (No. 216) and the conventional cell measures 7.264, 7.264 and 7.264 Å, with angles of 90.00, 90.00 and 90.00 degrees. The asymmetric unit holds Pr at (0.000, 0.000, 0.000), Y at (0.000, 0.000, 0.500), Zn at (0.250, 0.250, 0.750) and Ge at (0.250, 0.250, 0.250).



Q) PrYZnGe: optimized geometry, GGA-PBE.

The space group is Amm2 (No. 38) and the conventional cell measures 4.145, 4.270 and 11.287 Å, with angles of 90.00, 90.00 and 90.00 degrees. The asymmetric unit holds Pr at (0.000, 0.000, 0.000), Y at (0.500, 0.000, 0.283), Zn at (0.500, 0.000, 0.576) and Ge at (0.000, 0.000, 0.722).



Tell me which of them is the most stable. Sure, it is Q).



P) Pr2Zn3Ge: optimized geometry, GGA-PBE.

The space group is Pmm2 (No. 25) and the conventional cell measures 4.113, 4.338 and 7.662 Å, with angles of 90.00, 90.00 and 90.00 degrees. The asymmetric unit holds Pr at (0.000, 0.000, 0.000), Pr at (0.000, 0.500, 0.474), Zn at (0.500, 0.000, 0.658), Zn at (0.500, 0.500, 0.150), Zn at (0.500, 0.500, 0.817) and Ge at (0.500, 0.000, 0.325).



Q) Pr2Zn3Ge: optimized geometry, GGA-PBE.

The space group is Fmmm (No. 69) and the conventional cell measures 7.755, 8.948 and 15.453 Å, with angles of 90.00, 90.00 and 90.00 degrees. The asymmetric unit holds Pr at (0.245, 0.000, 0.000), Pr at (0.250, 0.250, 0.250), Zn at (0.000, 0.000, 0.166), Zn at (0.000, 0.249, 0.417) and Ge at (0.000, 0.000, 0.334).



Tell me which of them is the most stable. Sure, it is Q).



P) PrZn2Ge2: optimized geometry, GGA-PBE.

The space group is P4/mmm (No. 123) and the conventional cell measures 4.172, 4.172 and 5.758 Å, with angles of 90.00, 90.00 and 90.00 degrees. The asymmetric unit holds Pr at (0.000, 0.000, 0.000), Zn at (0.000, 0.500, 0.500) and Ge at (0.500, 0.500, 0.217).



Q) PrZn2Ge2: optimized geometry, GGA-PBE.

The space group is Pnma (No. 62) and the conventional cell measures 8.066, 4.574 and 10.958 Å, with angles of 90.00, 90.00 and 90.00 degrees. The asymmetric unit holds Pr at (0.239, 0.250, 0.179), Zn at (0.093, 0.250, 0.461), Zn at (0.107, 0.250, 0.852), Ge at (0.063, 0.750, 0.339) and Ge at (0.094, 0.750, 0.966).



Tell me which of them is the most stable. Sure, it is P).



P) PrZn2Ge: optimized geometry, GGA-PBE.

The space group is R-3m (No. 166, hexagonal axes) and the conventional cell measures 3.1886, 3.1886 and 31.1432 Å, with angles of 90.00, 90.00 and 120.00 degrees. The asymmetric unit holds Pr at (0.0000, 0.0000, 0.0000), Zn at (0.0000, 0.0000, 0.0981) and Ge at (0.0000, 0.0000, 0.5000).



Q) PrZn2Ge: optimized geometry, GGA-PBE.

The space group is P4/mmm (No. 123) and the conventional cell measures 4.288, 4.288 and 4.559 Å, with angles of 90.00, 90.00 and 90.00 degrees. The asymmetric unit holds Pr at (0.000, 0.000, 0.000), Zn at (0.000, 0.500, 0.500) and Ge at (0.500, 0.500, 0.000).



R) PrZn2Ge: optimized geometry, GGA-PBE.

The space group is P2/m (No. 10) and the conventional cell measures 4.146, 4.559 and 4.855 Å, with angles of 90.00, 91.07 and 90.00 degrees. The asymmetric unit holds Pr at (0.000, 0.000, 0.000), Zn at (0.447, 0.500, 0.753) and Ge at (0.500, 0.000, 0.500).



Tell me which of them is the most stable. Sure, it is Q).



P) Ge2Pt3: optimized geometry, GGA-PBE.

The space group is Cmcm (No. 63) and the conventional cell measures 3.516, 12.326 and 7.682 Å, with angles of 90.00, 90.00 and 90.00 degrees. The asymmetric unit holds Ge at (0.000, 0.000, 0.000), Ge at (0.000, 0.257, 0.250), Pt at (0.000, 0.340, 0.559) and Pt at (0.000, 0.466, 0.250).



Q) Ge2Pt3: optimized geometry, GGA-PBE.

The space group is R-3c (No. 167, hexagonal axes) and the conventional cell measures 6.6943, 6.6943 and 13.1851 Å, with angles of 90.00, 90.00 and 120.00 degrees. The asymmetric unit holds Ge at (0.0000, 0.0000, 0.1069) and Pt at (0.0000, 0.2677, 0.2500).



Tell me which of them is the most stable. Sure, it is P).



P) PuGePt3: optimized geometry, GGA-PBE.

The space group is R3c (No. 161, hexagonal axes) and the conventional cell measures 6.7870, 6.7870 and 14.9661 Å, with angles of 90.00, 90.00 and 120.00 degrees. The asymmetric unit holds Pu at (0.0000, 0.0000, 0.0000), Ge at (0.0000, 0.0000, 0.3009) and Pt at (0.1529, 0.3970, 0.3359).



Q) PuGePt3: optimized geometry, GGA-PBE.

The space group is P2_1/m (No. 11) and the conventional cell measures 5.428, 5.612 and 6.058 Å, with angles of 90.00, 94.61 and 90.00 degrees. The asymmetric unit holds Pu at (0.184, 0.250, 0.158), Ge at (0.081, 0.750, 0.373), Pt at (0.315, 0.003, 0.660) and Pt at (0.334, 0.750, 0.055).



Tell me which of them is the most stable. Sure, it is Q).



P) Pu2Ge3Pt2: optimized geometry, GGA-PBE.

The space group is Cmcm (No. 63) and the conventional cell measures 4.237, 18.336 and 7.138 Å, with angles of 90.00, 90.00 and 90.00 degrees. The asymmetric unit holds Pu at (0.000, 0.056, 0.250), Pu at (0.000, 0.154, 0.750), Ge at (0.000, 0.223, 0.250), Ge at (0.000, 0.438, 0.069) and Pt at (0.000, 0.307, 0.549).



Q) Pu2Ge3Pt2: optimized geometry, GGA-PBE.

The space group is C2/m (No. 12) and the conventional cell measures 10.815, 3.536 and 7.512 Å, with angles of 90.00, 116.29 and 90.00 degrees. The asymmetric unit holds Pu at (0.194, 0.000, 0.392), Ge at (0.000, 0.500, 0.500), Ge at (0.115, 0.500, 0.997) and Pt at (0.126, 0.000, 0.765).



Tell me which of them is the most stable. Sure, it is P).



P) PuGe3Pt2: optimized geometry, GGA-PBE.

The space group is Cmcm (No. 63) and the conventional cell measures 9.884, 8.396 and 5.470 Å, with angles of 90.00, 90.00 and 90.00 degrees. The asymmetric unit holds Pu at (0.000, 0.077, 0.250), Ge at (0.000, 0.407, 0.250), Ge at (0.153, 0.230, 0.750) and Pt at (0.209, 0.500, 0.000).



Q) PuGe3Pt2: optimized geometry, GGA-PBE.

The space group is Immm (No. 71) and the conventional cell measures 4.410, 7.376 and 13.847 Å, with angles of 90.00, 90.00 and 90.00 degrees. The asymmetric unit holds Pu at (0.000, 0.000, 0.135), Ge at (0.000, 0.205, 0.328), Ge at (0.000, 0.340, 0.000), Pt at (0.000, 0.315, 0.500) and Pt at (0.000, 0.500, 0.195).



Tell me which of them is the most stable. Sure, it is Q).



P) Pu4GePt: optimized geometry, GGA-PBE.

The space group is C2/m (No. 12) and the conventional cell measures 9.705, 2.874 and 9.726 Å, with angles of 90.00, 109.35 and 90.00 degrees. The asymmetric unit holds Pu at (0.163, 0.000, 0.328), Pu at (0.178, 0.500, 0.827), Ge at (0.000, 0.000, 0.000) and Pt at (0.000, 0.500, 0.500).



Q) Pu4GePt: optimized geometry, GGA-PBE.

The space group is R-3m (No. 166, hexagonal axes) and the conventional cell measures 5.2168, 5.2168 and 18.7419 Å, with angles of 90.00, 90.00 and 120.00 degrees. The asymmetric unit holds Pu at (0.0000, 0.0000, 0.1469), Pu at (0.0000, 0.0000, 0.3422), Ge at (0.0000, 0.0000, 0.5000) and Pt at (0.0000, 0.0000, 0.0000).



Tell me which of them is the most stable. Sure, it is Q).